A relaxed structure of CrSnAsO5, computed with PBE with a Hubbard U.

Properties
- crystal system = monoclinic
- space-group type = C2/c
- total energy (hartree per atom) = -0.240

Geometry as CIF:
```
data_CrSnAsO5
_chemical_formula_sum 'Cr2 Sn2 As2 O10'
_space_group_name_H-M_alt 'P 1'
_space_group_IT_number 1
_cell_length_a 5.6132
_cell_length_b 5.6132
_cell_length_c 8.1471
_cell_angle_alpha 111.27
_cell_angle_beta 111.27
_cell_angle_gamma 91.26
loop_
_space_group_symop_operation_xyz
'x,y,z'
loop_
_atom_site_label
_atom_site_fract_x
_atom_site_fract_y
_atom_site_fract_z
_atom_site_occupancy
Cr1 0.2972 0.7028 0.2500 1
Cr2 0.7028 0.2972 0.7500 1
O1 0.2574 0.7417 0.0046 1
O2 0.3142 0.3227 0.1591 1
O3 0.9446 0.0554 0.7500 1
O4 0.6773 0.6858 0.3409 1
O5 0.7417 0.2574 0.5046 1
O6 0.0554 0.9446 0.2500 1
O7 0.6858 0.6773 0.8409 1
O8 0.2583 0.7426 0.4954 1
O9 0.7426 0.2583 0.9954 1
O10 0.3227 0.3142 0.6591 1
Sn1 0.0000 0.0000 0.5000 1
Sn2 0.0000 0.0000 0.0000 1
As1 0.3337 0.6663 0.7500 1
As2 0.6663 0.3337 0.2500 1
```